1.
This record from the Alexandria database describes a geometry-optimized Ba6PtAu3 structure. The functional is GGA-PBE.

The space group is P2_1/c (No. 14) and the conventional cell measures 8.001, 8.727 and 14.232 Å, with angles of 90.00, 123.03 and 90.00 degrees. Symmetry generates all atoms from Ba at (0.088, 0.051, 0.244), Ba at (0.246, 0.688, 0.077), Ba at (0.388, 0.175, 0.072), Pt at (0.000, 0.000, 0.000), Au at (0.307, 0.108, 0.756) and Au at (0.500, 0.000, 0.500).

The formation energy comes out at -0.6283 eV per atom. The value obtained for the uncorrected energy is -67.38 eV for the cell shown. For the density of states at the Fermi level, the calculation gives 6.8 states/eV/f.u.


2.
This record from the Alexandria database describes a geometry-optimized Ba7PtAu3 structure. The functional is GGA-PBE.

The space group is Cm (No. 8) and the conventional cell measures 10.039, 12.473 and 8.117 Å, with angles of 90.00, 113.79 and 90.00 degrees. Symmetry generates all atoms from Ba at (0.000, 0.000, 0.000), Ba at (0.012, 0.500, 0.135), Ba at (0.102, 0.340, 0.665), Ba at (0.180, 0.000, 0.612), Ba at (0.272, 0.252, 0.228), Pt at (0.336, 0.000, 0.362), Au at (0.318, 0.500, 0.518) and Au at (0.421, 0.230, 0.923).

The formation energy comes out at -0.5339 eV per atom. The value obtained for the uncorrected energy is -70.41 eV for the cell shown. For the density of states at the Fermi level, the calculation gives 7.4 states/eV/f.u.


3.
This record from the Alexandria database describes a geometry-optimized Ba2PtAu structure. The functional is GGA-PBE.

The space group is R3m (No. 160, hexagonal axes) and the conventional cell measures 4.5747, 4.5747 and 24.0229 Å, with angles of 90.00, 90.00 and 120.00 degrees. Symmetry generates all atoms from Ba at (0.0000, 0.0000, 0.0000), Ba at (0.0000, 0.0000, 0.1842), Pt at (0.0000, 0.0000, 0.5930) and Au at (0.0000, 0.0000, 0.7580).

The formation energy comes out at -0.6782 eV per atom. The value obtained for the uncorrected energy is -47.63 eV for the cell shown. For the density of states at the Fermi level, the calculation gives 2.4 states/eV/f.u.


4.
This record from the Alexandria database describes a geometry-optimized BaPt4Au8 structure. The functional is GGA-PBE.

The space group is I4/mmm (No. 139) and the conventional cell measures 9.462, 9.462 and 5.639 Å, with angles of 90.00, 90.00 and 90.00 degrees. Symmetry generates all atoms from Ba at (0.000, 0.000, 0.000), Pt at (0.250, 0.250, 0.250), Au at (0.000, 0.226, 0.500) and Au at (0.000, 0.343, 0.000).

The formation energy comes out at -0.2066 eV per atom. The value obtained for the uncorrected energy is -109.98 eV for the cell shown. For the density of states at the Fermi level, the calculation gives 5.5 states/eV/f.u.


5.
This record from the Alexandria database describes a geometry-optimized Ba12PtAu6 structure. The functional is GGA-PBE.

The space group is R-3 (No. 148, hexagonal axes) and the conventional cell measures 14.6482, 14.6482 and 13.7832 Å, with angles of 90.00, 90.00 and 120.00 degrees. Symmetry generates all atoms from Ba at (0.0260, 0.2135, 0.3923), Ba at (0.0360, 0.1974, 0.8807), Pt at (0.0000, 0.0000, 0.0000) and Au at (0.0426, 0.2644, 0.6444).

The formation energy comes out at -0.5618 eV per atom. The value obtained for the uncorrected energy is -178.36 eV for the cell shown. For the density of states at the Fermi level, the calculation gives 12.9 states/eV/f.u.


6.
This record from the Alexandria database describes a geometry-optimized BaPt6Au6 structure. The functional is GGA-PBE.

The space group is Immm (No. 71) and the conventional cell measures 5.522, 9.444 and 9.456 Å, with angles of 90.00, 90.00 and 90.00 degrees. Symmetry generates all atoms from Ba at (0.000, 0.000, 0.000), Pt at (0.000, 0.500, 0.261), Pt at (0.250, 0.250, 0.250), Au at (0.000, 0.000, 0.341), Au at (0.000, 0.290, 0.500) and Au at (0.000, 0.349, 0.000).

The formation energy comes out at -0.1916 eV per atom. The value obtained for the uncorrected energy is -120.64 eV for the cell shown. For the density of states at the Fermi level, the calculation gives 8.6 states/eV/f.u.


7.
This record from the Alexandria database describes a geometry-optimized Ba4PtAu2 structure. The functional is GGA-PBE.

The space group is C2/m (No. 12) and the conventional cell measures 17.211, 4.710 and 8.142 Å, with angles of 90.00, 118.12 and 90.00 degrees. Symmetry generates all atoms from Ba at (0.122, 0.000, 0.471), Ba at (0.123, 0.500, 0.939), Pt at (0.000, 0.500, 0.500) and Au at (0.240, 0.000, 0.238).

The formation energy comes out at -0.6406 eV per atom. The value obtained for the uncorrected energy is -49.54 eV for the cell shown. For the offset from the most stable computed form, the calculation gives 0 meV/atom. For the density of states at the Fermi level, the calculation gives 4.1 states/eV/f.u.


8.
This record from the Alexandria database describes a geometry-optimized Ba2PtAu structure. The functional is GGA-PBE.

The space group is P4/mmm (No. 123) and the conventional cell measures 3.935, 3.935 and 7.974 Å, with angles of 90.00, 90.00 and 90.00 degrees. Symmetry generates all atoms from Ba at (0.000, 0.000, 0.234), Pt at (0.500, 0.500, 0.000) and Au at (0.500, 0.500, 0.500).

The formation energy comes out at -0.6964 eV per atom. The value obtained for the uncorrected energy is -15.95 eV for the cell shown. For the density of states at the Fermi level, the calculation gives 2.6 states/eV/f.u.


9.
This record from the Alexandria database describes a geometry-optimized BaPt2Au2 structure. The functional is GGA-PBE.

The space group is P4/mbm (No. 127) and the conventional cell measures 8.182, 8.182 and 3.130 Å, with angles of 90.00, 90.00 and 90.00 degrees. Symmetry generates all atoms from Ba at (0.000, 0.000, 0.000), Pt at (0.174, 0.326, 0.500) and Au at (0.123, 0.623, 0.000).

The formation energy comes out at -0.2080 eV per atom. The value obtained for the uncorrected energy is -43.20 eV for the cell shown. For the offset from the most stable computed form, the calculation gives 154 meV/atom. For the density of states at the Fermi level, the calculation gives 2.3 states/eV/f.u.


10.
This record from the Alexandria database describes a geometry-optimized Ba8PtAu2 structure. The functional is GGA-PBE.

The space group is C2/m (No. 12) and the conventional cell measures 14.183, 10.262 and 7.906 Å, with angles of 90.00, 108.42 and 90.00 degrees. Symmetry generates all atoms from Ba at (0.078, 0.000, 0.266), Ba at (0.133, 0.500, 0.250), Ba at (0.144, 0.295, 0.748), Pt at (0.000, 0.500, 0.500) and Au at (0.187, 0.000, 0.953).

The formation energy comes out at -0.4518 eV per atom. The value obtained for the uncorrected energy is -65.89 eV for the cell shown. For the offset from the most stable computed form, the calculation gives 0 meV/atom. For the density of states at the Fermi level, the calculation gives 10.5 states/eV/f.u.


11.
This record from the Alexandria database describes a geometry-optimized BaPtAu2 structure. The functional is GGA-PBE.

The space group is I-4m2 (No. 119) and the conventional cell measures 4.447, 4.447 and 9.356 Å, with angles of 90.00, 90.00 and 90.00 degrees. Symmetry generates all atoms from Ba at (0.000, 0.000, 0.000), Pt at (0.000, 0.500, 0.750), Au at (0.000, 0.000, 0.500) and Au at (0.000, 0.500, 0.250).

The formation energy comes out at -0.1959 eV per atom. The value obtained for the uncorrected energy is -30.60 eV for the cell shown. For the offset from the most stable computed form, the calculation gives 320 meV/atom. For the density of states at the Fermi level, the calculation gives 0.8 states/eV/f.u.


12.
This record from the Alexandria database describes a geometry-optimized Ba4PtAu structure. The functional is GGA-PBE.

The space group is C2/c (No. 15) and the conventional cell measures 9.533, 18.449 and 8.057 Å, with angles of 90.00, 125.91 and 90.00 degrees. Symmetry generates all atoms from Ba at (0.236, 0.184, 0.246), Ba at (0.238, 0.052, 0.738), Pt at (0.000, 0.070, 0.250) and Au at (0.000, 0.428, 0.750).

The formation energy comes out at -0.5588 eV per atom. The value obtained for the uncorrected energy is -81.45 eV for the cell shown. For the offset from the most stable computed form, the calculation gives 0 meV/atom. For the density of states at the Fermi level, the calculation gives 5.5 states/eV/f.u.


13.
This record from the Alexandria database describes a geometry-optimized Ba2PtAu structure. The functional is GGA-PBE.

The space group is C2/m (No. 12) and the conventional cell measures 8.038, 4.640 and 8.169 Å, with angles of 90.00, 109.04 and 90.00 degrees. Symmetry generates all atoms from Ba at (0.242, 0.000, 0.228), Pt at (0.000, 0.500, 0.000) and Au at (0.000, 0.000, 0.500).

The formation energy comes out at -0.7023 eV per atom. The value obtained for the uncorrected energy is -31.95 eV for the cell shown. For the density of states at the Fermi level, the calculation gives 2.4 states/eV/f.u.


14.
This record from the Alexandria database describes a geometry-optimized BaPtAu2 structure. The functional is GGA-PBE.

The space group is F-43m (No. 216) and the conventional cell measures 7.262, 7.262 and 7.262 Å, with angles of 90.00, 90.00 and 90.00 degrees. Symmetry generates all atoms from Ba at (0.000, 0.000, 0.000), Pt at (0.250, 0.250, 0.250), Au at (0.000, 0.000, 0.500) and Au at (0.250, 0.250, 0.750).

The formation energy comes out at -0.1196 eV per atom. The value obtained for the uncorrected energy is -59.99 eV for the cell shown. For the offset from the most stable computed form, the calculation gives 397 meV/atom. For the density of states at the Fermi level, the calculation gives 2.4 states/eV/f.u.


15.
This record from the Alexandria database describes a geometry-optimized BaPt2Au2 structure. The functional is GGA-PBE.

The space group is I4/mmm (No. 139) and the conventional cell measures 4.431, 4.431 and 11.809 Å, with angles of 90.00, 90.00 and 90.00 degrees. Symmetry generates all atoms from Ba at (0.000, 0.000, 0.000), Pt at (0.000, 0.000, 0.393) and Au at (0.000, 0.500, 0.250).

The formation energy comes out at -0.3616 eV per atom. The value obtained for the uncorrected energy is -44.73 eV for the cell shown. For the offset from the most stable computed form, the calculation gives 0 meV/atom. For the density of states at the Fermi level, the calculation gives 2.0 states/eV/f.u.


16.
This record from the Alexandria database describes a geometry-optimized Ba6PtAu structure. The functional is GGA-PBE.

The space group is P-31c (No. 163) and the conventional cell measures 7.9633, 7.9633 and 15.2059 Å, with angles of 90.00, 90.00 and 120.00 degrees. Symmetry generates all atoms from Ba at (0.0026, 0.3240, 0.1219), Pt at (0.0000, 0.0000, 0.0000) and Au at (0.3333, 0.6667, 0.2500).

The formation energy comes out at -0.4573 eV per atom. The value obtained for the uncorrected energy is -49.03 eV for the cell shown. For the density of states at the Fermi level, the calculation gives 5.6 states/eV/f.u.


17.
This record from the Alexandria database describes a geometry-optimized BaPt2Au2 structure. The functional is GGA-PBE.

The space group is P4/mbm (No. 127) and the conventional cell measures 8.046, 8.046 and 3.237 Å, with angles of 90.00, 90.00 and 90.00 degrees. Symmetry generates all atoms from Ba at (0.000, 0.000, 0.000), Pt at (0.123, 0.377, 0.000) and Au at (0.172, 0.672, 0.500).

The formation energy comes out at -0.2468 eV per atom. The value obtained for the uncorrected energy is -43.59 eV for the cell shown. For the offset from the most stable computed form, the calculation gives 115 meV/atom. For the density of states at the Fermi level, the calculation gives 2.1 states/eV/f.u.


18.
This record from the Alexandria database describes a geometry-optimized Ba2Pt2Au structure. The functional is GGA-PBE.

The space group is C2/m (No. 12) and the conventional cell measures 10.741, 5.761 and 4.902 Å, with angles of 90.00, 117.06 and 90.00 degrees. Symmetry generates all atoms from Ba at (0.194, 0.000, 0.193), Pt at (0.000, 0.245, 0.500) and Au at (0.000, 0.500, 0.000).

The formation energy comes out at -0.7198 eV per atom. The value obtained for the uncorrected energy is -45.61 eV for the cell shown. For the offset from the most stable computed form, the calculation gives 0 meV/atom. For the density of states at the Fermi level, the calculation gives 1.8 states/eV/f.u.


19.
This record from the Alexandria database describes a geometry-optimized BaPtAu2 structure. The functional is GGA-PBE.

The space group is Cm (No. 8) and the conventional cell measures 8.243, 4.750 and 6.071 Å, with angles of 90.00, 116.57 and 90.00 degrees. Symmetry generates all atoms from Ba at (0.000, 0.000, 0.000), Pt at (0.308, 0.500, 0.427), Au at (0.192, 0.000, 0.579) and Au at (0.489, 0.000, 0.470).

The formation energy comes out at -0.5163 eV per atom. The value obtained for the uncorrected energy is -33.17 eV for the cell shown. For the offset from the most stable computed form, the calculation gives 0 meV/atom. For the density of states at the Fermi level, the calculation gives 2.3 states/eV/f.u.


20.
This record from the Alexandria database describes a geometry-optimized Ba4PtAu structure. The functional is GGA-PBE.

The space group is C2/m (No. 12) and the conventional cell measures 7.879, 7.879 and 7.884 Å, with angles of 90.00, 90.38 and 90.00 degrees. Symmetry generates all atoms from Ba at (0.249, 0.250, 0.242), Pt at (0.000, 0.000, 0.000) and Au at (0.000, 0.500, 0.500).

The formation energy comes out at -0.5315 eV per atom. The value obtained for the uncorrected energy is -40.40 eV for the cell shown. For the offset from the most stable computed form, the calculation gives 27 meV/atom. For the density of states at the Fermi level, the calculation gives 3.7 states/eV/f.u.